Below is crystalline Ca2Pr2CuPd4 at its relaxed geometry, with properties calculated at the GGA-PBE level. Values from VASP.

Calculated values
Spin magnetization   0.00 μB/cell
Energy   -4.649 eV/atom
ΔE_f   -379 meV per atom
Symmetry   I4/mmm, No. 139

Cell and atoms, written as Quantum ESPRESSO input:
```
&SYSTEM
  ibrav = 0, nat = 9, ntyp = 4
/
ATOMIC_SPECIES
Ca 40.08 Ca.upf
Pr 140.91 Pr.upf
Cu 63.55 Cu.upf
Pd 106.42 Pd.upf
ATOMIC_POSITIONS crystal
Ca 0.250 0.750 0.500
Ca 0.750 0.250 0.500
Pr 0.195 0.195 0.000
Pr 0.805 0.805 0.000
Cu 0.500 0.500 0.000
Pd 0.246 0.246 0.493
Pd 0.246 0.754 0.000
Pd 0.754 0.246 0.000
Pd 0.754 0.754 0.507
CELL_PARAMETERS angstrom
-3.535 3.535 4.237
3.535 -3.535 4.237
3.535 3.535 -4.237
```

Below is crystalline Er3TiAl8 at its relaxed geometry, with properties calculated at the GGA-PBE level. Values from VASP.

Calculated values
Spin magnetization   0.00 μB/cell
Energy   -4.737 eV/atom
ΔE_f   -444 meV per atom
Symmetry   R3m, No. 160

Cell and atoms, written as Quantum ESPRESSO input:
```
&SYSTEM
  ibrav = 0, nat = 12, ntyp = 3
/
ATOMIC_SPECIES
Er 167.26 Er.upf
Ti 47.87 Ti.upf
Al 26.98 Al.upf
ATOMIC_POSITIONS crystal
Er 0.000 0.000 0.000
Er 0.126 0.126 0.126
Er 0.503 0.503 0.503
Ti 0.626 0.626 0.626
Al 0.060 0.563 0.563
Al 0.065 0.065 0.566
Al 0.065 0.566 0.065
Al 0.313 0.313 0.313
Al 0.563 0.060 0.563
Al 0.563 0.563 0.060
Al 0.566 0.065 0.065
Al 0.814 0.814 0.814
CELL_PARAMETERS angstrom
2.716 1.568 8.904
-2.716 1.568 8.904
0.000 -3.136 8.904
```